[1]
Computed, not measured: a crystal of InNiAu2 relaxed with PBEsol at the meta-GGA SCAN level of DFT.

Formation energy ... -72 meV per atom

Cell lengths 4.004, 4.004, 8.013 Å; angles 90.00, 90.00, 90.00 degrees
Fractional coordinates of all 8 atoms:
In 0.000 0.000 0.000
In 0.500 0.500 0.500
Ni 0.000 0.500 0.250
Ni 0.500 0.000 0.750
Au 0.000 0.000 0.500
Au 0.000 0.500 0.750
Au 0.500 0.000 0.250
Au 0.500 0.500 0.000

[2]
Computed, not measured: a crystal of CsYAl2 relaxed with PBEsol at the meta-GGA SCAN level of DFT.

Formation energy ... 526 meV per atom

Cell lengths 7.741, 7.741, 7.741 Å; angles 90.00, 90.00, 90.00 degrees
Fractional coordinates of all 16 atoms:
Cs 0.000 0.000 0.000
Cs 0.000 0.500 0.500
Cs 0.500 0.000 0.500
Cs 0.500 0.500 0.000
Y 0.000 0.000 0.500
Y 0.000 0.500 0.000
Y 0.500 0.000 0.000
Y 0.500 0.500 0.500
Al 0.250 0.250 0.250
Al 0.250 0.250 0.750
Al 0.250 0.750 0.250
Al 0.250 0.750 0.750
Al 0.750 0.250 0.250
Al 0.750 0.250 0.750
Al 0.750 0.750 0.250
Al 0.750 0.750 0.750

[3]
Computed, not measured: a crystal of DyNiSb2 relaxed with PBEsol at the meta-GGA SCAN level of DFT.

Raw formation energy ... -0.744 eV per atom

Cell lengths 4.301, 4.301, 9.200 Å; angles 90.00, 90.00, 90.00 degrees
Fractional coordinates of all 8 atoms:
Dy 0.250 0.250 0.237
Dy 0.750 0.750 0.763
Ni 0.250 0.750 0.000
Ni 0.750 0.250 0.000
Sb 0.250 0.250 0.856
Sb 0.250 0.750 0.500
Sb 0.750 0.250 0.500
Sb 0.750 0.750 0.144

[4]
Computed, not measured: a crystal of LaCoB5O10 relaxed with PBEsol at the meta-GGA SCAN level of DFT.

Raw formation energy ... -2.719 eV per atom

Cell lengths 8.775, 7.587, 12.593 Å; angles 90.00, 131.27, 90.00 degrees
Fractional coordinates of all 68 atoms:
La 0.058 0.185 0.235
La 0.058 0.315 0.735
La 0.942 0.685 0.265
La 0.942 0.815 0.765
Co 0.474 0.589 0.875
Co 0.474 0.911 0.375
Co 0.526 0.089 0.625
Co 0.526 0.411 0.125
B 0.096 0.673 0.611
B 0.096 0.827 0.111
B 0.159 0.592 0.007
B 0.159 0.908 0.507
B 0.266 0.036 0.050
B 0.266 0.464 0.550
B 0.360 0.582 0.268
B 0.360 0.918 0.768
B 0.492 0.185 0.918
B 0.492 0.315 0.418
B 0.508 0.685 0.582
B 0.508 0.815 0.082
B 0.640 0.082 0.232
B 0.640 0.418 0.732
B 0.734 0.536 0.450
B 0.734 0.964 0.950
B 0.841 0.092 0.493
B 0.841 0.408 0.993
B 0.904 0.173 0.889
B 0.904 0.327 0.389
O 0.031 0.718 0.992
O 0.031 0.782 0.492
O 0.083 0.109 0.913
O 0.083 0.391 0.413
O 0.115 0.538 0.887
O 0.115 0.962 0.387
O 0.221 0.722 0.244
O 0.221 0.778 0.744
O 0.225 0.519 0.643
O 0.225 0.981 0.143
O 0.314 0.626 0.508
O 0.314 0.874 0.008
O 0.326 0.535 0.139
O 0.326 0.965 0.639
O 0.329 0.082 0.814
O 0.329 0.418 0.314
O 0.438 0.155 0.126
O 0.438 0.345 0.626
O 0.442 0.152 0.437
O 0.442 0.348 0.937
O 0.558 0.652 0.063
O 0.558 0.848 0.563
O 0.562 0.655 0.374
O 0.562 0.845 0.874
O 0.671 0.582 0.686
O 0.671 0.918 0.186
O 0.674 0.035 0.361
O 0.674 0.465 0.861
O 0.686 0.126 0.992
O 0.686 0.374 0.492
O 0.775 0.019 0.857
O 0.775 0.481 0.357
O 0.779 0.222 0.256
O 0.779 0.278 0.756
O 0.885 0.038 0.613
O 0.885 0.462 0.113
O 0.917 0.609 0.587
O 0.917 0.891 0.087
O 0.969 0.218 0.508
O 0.969 0.282 0.008

[5]
Computed, not measured: a crystal of TaInNi2 relaxed with PBEsol at the meta-GGA SCAN level of DFT.

Formation energy ... 9 meV per atom

Cell lengths 9.105, 2.874, 4.544 Å; angles 90.00, 103.26, 90.00 degrees
Fractional coordinates of all 8 atoms:
Ta 0.000 0.000 0.000
Ta 0.500 0.500 0.000
In 0.228 0.000 0.642
In 0.728 0.500 0.642
Ni 0.248 0.500 0.160
Ni 0.477 0.000 0.462
Ni 0.748 0.000 0.160
Ni 0.977 0.500 0.462

[6]
Computed, not measured: a crystal of Cd2BiPdRu relaxed with PBEsol at the meta-GGA SCAN level of DFT.

Formation energy ... 781 meV per atom

Cell lengths 4.963, 4.963, 4.752 Å; angles 90.00, 90.00, 90.00 degrees
Fractional coordinates of all 5 atoms:
Cd 0.000 0.500 0.000
Cd 0.500 0.000 0.000
Bi 0.000 0.000 0.500
Pd 0.500 0.500 0.000
Ru 0.500 0.500 0.500

no.,raw total energy (eV per atom)
1,-47.0402
2,-19.7630
3,-35.3672
4,-12.1227
5,-33.0706
6,-40.6207